Material: Hf2GaFeSb
Method: DFT, PBE
State: optimized geometry

Geometry as POSCAR:
```
Hf2GaFeSb
1.0
-1.910 4.489 -0.790
-1.570 -1.455 -4.468
-4.280 -1.472 1.983
Sb Hf Fe Ga
1 2 1 1
Direct
0.000 0.500 0.000 Sb
0.000 0.000 0.500 Hf
0.500 0.000 0.000 Hf
0.500 0.500 0.500 Fe
0.000 0.000 0.000 Ga
```

Summary:
The value obtained for the size of the total moment is 0.112 μB/f.u. The total energy is -5.837 eV/atom. Its density of states at the Fermi level is 1.17 states/eV/atom. The calculation puts the energy relative to the elements, uncorrected at 1.267 eV/atom.

Material: Hf2GaFe5Si2
Method: DFT, PBE
State: optimized geometry

Geometry as POSCAR:
```
Hf2GaFe5Si2
1.0
-2.328 2.228 -0.104
-6.283 -6.551 0.344
0.026 0.451 9.072
Hf Ga Fe Si
4 2 10 4
Direct
0.000 0.674 0.174 Hf
0.000 0.326 0.826 Hf
0.000 0.174 0.326 Hf
0.000 0.826 0.674 Hf
0.000 0.000 0.000 Ga
0.000 0.500 0.500 Ga
0.500 0.208 0.065 Fe
0.500 0.792 0.935 Fe
0.500 0.065 0.792 Fe
0.500 0.708 0.435 Fe
0.500 0.935 0.208 Fe
0.500 0.292 0.565 Fe
0.500 0.565 0.708 Fe
0.500 0.435 0.292 Fe
0.500 0.500 0.000 Fe
0.500 0.000 0.500 Fe
0.000 0.123 0.623 Si
0.000 0.877 0.377 Si
0.000 0.623 0.877 Si
0.000 0.377 0.123 Si
```

Summary:
The value obtained for the size of the total moment is 2.182 μB/f.u. The total energy is -8.026 eV/atom. Its density of states at the Fermi level is 0.74 states/eV/atom. The calculation puts the energy relative to the elements, uncorrected at -0.417 eV/atom.

Material: HfGaFe2Tc
Method: DFT, PBE
State: optimized geometry

Geometry as POSCAR:
```
HfGaFe2Tc
1.0
-1.264 -3.271 -2.733
4.033 -1.840 0.338
-1.520 -2.625 3.844
Hf Tc Ga Fe
1 1 1 2
Direct
0.000 0.000 0.000 Hf
0.500 0.500 0.500 Tc
0.000 0.000 0.500 Ga
0.000 0.500 0.000 Fe
0.500 0.000 0.000 Fe
```

Summary:
The value obtained for the size of the total moment is 6.162 μB/f.u. The total energy is -6.360 eV/atom. As for the formation energy: 39.1 kcal/mol of atoms. Its density of states at the Fermi level is 1.21 states/eV/atom.

Material: YHfGaFe2
Method: DFT, PBE
State: optimized geometry

Geometry as POSCAR:
```
YHfGaFe2
1.0
-1.819 -0.428 4.116
0.203 -5.075 -0.438
4.134 0.008 1.828
Y Hf Fe Ga
1 1 2 1
Direct
0.500 0.500 0.500 Y
0.000 0.000 0.000 Hf
0.000 0.000 0.500 Fe
0.500 0.000 0.000 Fe
0.000 0.500 0.000 Ga
```

Summary:
The value obtained for the size of the total moment is 0.000 μB/f.u. The total energy is -6.497 eV/atom. As for the formation energy: 17.9 kcal/mol of atoms. Its density of states at the Fermi level is 1.45 states/eV/atom.

Material: YHfGa2Fe
Method: DFT, PBE
State: optimized geometry

Geometry as POSCAR:
```
YHfGa2Fe
1.0
-0.323 -1.645 4.354
-1.884 -3.833 -1.588
4.236 -1.913 -0.408
Y Hf Fe Ga
1 1 1 2
Direct
0.500 0.500 0.500 Y
0.000 0.500 0.000 Hf
0.000 0.000 0.000 Fe
0.000 0.000 0.500 Ga
0.500 0.000 0.000 Ga
```

Summary:
The value obtained for the size of the total moment is 0.012 μB/f.u. The total energy is -6.296 eV/atom. As for the formation energy: -2.5 kcal/mol of atoms. Its density of states at the Fermi level is 1.04 states/eV/atom.

Material: Ga2Fe2Hg
Method: DFT, PBE
State: optimized geometry

Geometry as POSCAR:
```
Ga2Fe2Hg
1.0
-2.518 1.175 2.475
-2.417 -2.535 -1.256
-0.403 -4.613 4.576
Hg Ga Fe
1 2 2
Direct
0.000 0.000 0.000 Hg
0.392 0.392 0.216 Ga
0.608 0.608 0.784 Ga
0.750 0.250 0.500 Fe
0.250 0.750 0.500 Fe
```

Summary:
The value obtained for the size of the total moment is 4.441 μB/f.u. The total energy is -4.364 eV/atom. As for the formation energy: 6.7 kcal/mol of atoms. Its density of states at the Fermi level is 0.96 states/eV/atom.

Material: GaFe2Hg
Method: DFT, PBE
State: optimized geometry

Geometry as POSCAR:
```
GaFe2Hg
1.0
3.802 0.000 0.000
0.000 3.802 0.000
1.901 1.901 8.772
Hg Ga Fe
2 2 4
Direct
0.000 0.000 0.000 Hg
0.750 0.250 0.500 Hg
0.500 0.500 0.000 Ga
0.250 0.750 0.500 Ga
0.510 0.125 0.250 Fe
0.240 0.625 0.250 Fe
0.375 0.490 0.750 Fe
0.875 0.760 0.750 Fe
```

Summary:
The value obtained for the size of the total moment is 0.000 μB/f.u. The total energy is -4.350 eV/atom. As for the formation energy: 16.4 kcal/mol of atoms. Its density of states at the Fermi level is 0.31 states/eV/atom.

Material: GaFeHg2
Method: DFT, PBE
State: optimized geometry

Geometry as POSCAR:
```
GaFeHg2
1.0
4.090 0.000 0.000
0.000 4.090 0.000
2.045 2.045 9.806
Hg Ga Fe
4 2 2
Direct
0.619 0.125 0.250 Hg
0.131 0.625 0.250 Hg
0.375 0.381 0.750 Hg
0.875 0.869 0.750 Hg
0.000 0.000 0.000 Ga
0.750 0.250 0.500 Ga
0.500 0.500 0.000 Fe
0.250 0.750 0.500 Fe
```

Summary:
The value obtained for the size of the total moment is 2.844 μB/f.u. The total energy is -2.561 eV/atom. As for the formation energy: 10.7 kcal/mol of atoms. Its density of states at the Fermi level is 1.19 states/eV/atom.

Material: GaFe3Hg
Method: DFT, PBE
State: optimized geometry

Geometry as POSCAR:
```
GaFe3Hg
1.0
4.882 0.000 0.000
0.000 4.882 0.000
0.000 0.000 4.882
Hg Ga Fe
1 1 3
Direct
0.000 0.000 0.000 Hg
0.500 0.500 0.500 Ga
0.000 0.500 0.000 Fe
0.000 0.000 0.500 Fe
0.500 0.000 0.000 Fe
```

Summary:
The value obtained for the size of the total moment is 9.289 μB/f.u. The total energy is -4.239 eV/atom. As for the formation energy: 34.7 kcal/mol of atoms. Its density of states at the Fermi level is 1.99 states/eV/atom.

Material: Ga2Fe2Hg
Method: DFT, PBE
State: optimized geometry

Geometry as POSCAR:
```
Ga2Fe2Hg
1.0
7.057 0.000 0.000
0.000 7.057 0.000
0.000 0.000 3.038
Hg Ga Fe
2 4 4
Direct
0.000 0.000 0.000 Hg
0.500 0.500 0.000 Hg
0.170 0.670 0.500 Ga
0.670 0.830 0.500 Ga
0.830 0.330 0.500 Ga
0.330 0.170 0.500 Ga
0.379 0.879 0.000 Fe
0.879 0.621 0.000 Fe
0.621 0.121 0.000 Fe
0.121 0.379 0.000 Fe
```

Summary:
The value obtained for the size of the total moment is 3.869 μB/f.u. The total energy is -4.541 eV/atom. As for the formation energy: 2.7 kcal/mol of atoms. Its density of states at the Fermi level is 0.68 states/eV/atom.

Material: GaFe3Hg
Method: DFT, PBE
State: optimized geometry

Geometry as POSCAR:
```
GaFe3Hg
1.0
4.473 0.000 0.000
0.000 4.473 0.000
0.000 0.000 4.473
Hg Ga Fe
1 1 3
Direct
0.500 0.500 0.500 Hg
0.000 0.000 0.000 Ga
0.000 0.500 0.000 Fe
0.000 0.000 0.500 Fe
0.500 0.000 0.000 Fe
```

Summary:
The value obtained for the size of the total moment is 7.830 μB/f.u. The total energy is -4.814 eV/atom. As for the formation energy: 21.4 kcal/mol of atoms. Its density of states at the Fermi level is 1.53 states/eV/atom.

Material: Ga2Fe2Hg
Method: DFT, PBE
State: optimized geometry

Geometry as POSCAR:
```
Ga2Fe2Hg
1.0
-7.605 -0.114 -0.729
0.447 -6.718 -3.613
-0.208 -1.287 2.368
Hg Ga Fe
2 4 4
Direct
0.000 0.000 0.000 Hg
0.500 0.500 0.000 Hg
0.324 0.824 0.000 Ga
0.824 0.676 0.000 Ga
0.676 0.176 0.000 Ga
0.176 0.324 0.000 Ga
0.114 0.614 0.500 Fe
0.614 0.886 0.500 Fe
0.886 0.386 0.500 Fe
0.386 0.114 0.500 Fe
```

Summary:
The value obtained for the size of the total moment is 4.763 μB/f.u. The total energy is -4.502 eV/atom. As for the formation energy: 3.5 kcal/mol of atoms. Its density of states at the Fermi level is 0.69 states/eV/atom.

Material: GaFe2Hg
Method: DFT, PBE
State: optimized geometry

Geometry as POSCAR:
```
GaFe2Hg
1.0
1.849 -3.993 0.162
0.645 -1.972 3.884
-2.421 -3.504 1.120
Hg Ga Fe
1 1 2
Direct
0.500 0.500 0.500 Hg
0.000 0.000 0.000 Ga
0.250 0.250 0.250 Fe
0.750 0.750 0.750 Fe
```

Summary:
The value obtained for the size of the total moment is 4.756 μB/f.u. The total energy is -4.729 eV/atom. As for the formation energy: 7.7 kcal/mol of atoms. Its density of states at the Fermi level is 2.94 states/eV/atom.

Material: KGa2FeHg
Method: DFT, PBE
State: optimized geometry

Geometry as POSCAR:
```
KGa2FeHg
1.0
4.688 0.000 0.000
0.000 4.688 0.000
0.000 0.000 5.215
K Hg Ga Fe
1 1 2 1
Direct
0.500 0.500 0.500 K
0.000 0.000 0.500 Hg
0.000 0.500 0.000 Ga
0.500 0.000 0.000 Ga
0.000 0.000 0.000 Fe
```

Summary:
The value obtained for the size of the total moment is 0.494 μB/f.u. The total energy is -3.227 eV/atom. As for the formation energy: -1.0 kcal/mol of atoms. Its density of states at the Fermi level is 0.47 states/eV/atom.

Material: LaGa2FeHg
Method: DFT, PBE
State: optimized geometry

Geometry as POSCAR:
```
LaGa2FeHg
1.0
-3.403 0.914 -3.193
-1.362 -4.554 0.147
-3.169 1.066 3.682
Fe Hg Ga La
1 1 2 1
Direct
0.000 0.000 0.000 Fe
0.500 0.500 0.500 Hg
0.000 0.500 0.000 Ga
0.500 0.000 0.000 Ga
0.000 0.000 0.500 La
```

Summary:
The value obtained for the size of the total moment is 0.000 μB/f.u. The total energy is -4.231 eV/atom. As for the formation energy: -6.5 kcal/mol of atoms. Its density of states at the Fermi level is 0.54 states/eV/atom.

Material: LaGa2FeHg
Method: DFT, PBE
State: optimized geometry

Geometry as POSCAR:
```
LaGa2FeHg
1.0
-2.543 0.847 3.776
3.662 -0.935 2.676
1.361 4.843 -0.170
Fe Hg Ga La
1 1 2 1
Direct
0.000 0.000 0.000 Fe
0.000 0.000 0.500 Hg
0.000 0.500 0.000 Ga
0.500 0.000 0.000 Ga
0.500 0.500 0.500 La
```

Summary:
The value obtained for the size of the total moment is 0.646 μB/f.u. The total energy is -4.213 eV/atom. As for the formation energy: -6.1 kcal/mol of atoms. Its density of states at the Fermi level is 0.50 states/eV/atom.